# 1
LiSc5Ag6 | Alexandria via LeMat-Bulk | PBE | optimized geometry; formation energy = -241.5 meV per atom; electronic total energy = -4.465 eV/atom; size of the total moment = 0.00 μB/cell; N(E_F) = 9.7 states/eV/cell; symmetry = C2/m (12)
1.0
4.642 -0.002 -1.300
-3.477 6.729 -3.501
-0.180 -0.990 8.284
Sc Ag Li
5 6 1
Cartesian
-2.375 4.149 0.439
-1.282 1.591 4.344
1.582 0.318 5.637
-0.597 5.420 -2.154
0.493 2.869 1.741
2.558 1.389 0.194
-0.299 2.677 -1.079
-1.573 4.349 3.288
0.784 0.142 2.790
0.202 5.596 0.692
1.284 3.061 4.562
0.000 0.000 0.000

***

# 2
Li3ScAg4 | Alexandria via LeMat-Bulk | PBE | optimized geometry; formation energy = -219.2 meV per atom; electronic total energy = -3.154 eV/atom; size of the total moment = 0.00 μB/cell; N(E_F) = 3.7 states/eV/cell; symmetry = P4/mmm (123)
1.0
-2.720 -1.604 0.907
1.410 -2.853 -0.818
4.592 -1.116 11.801
Ag Sc Li
4 1 3
Cartesian
3.934 -0.956 10.109
2.843 -0.691 7.306
1.749 -0.425 4.495
0.659 -0.160 1.692
-0.655 -2.229 0.044
0.551 -2.522 3.144
1.641 -2.787 5.945
2.731 -3.051 8.746

***

# 3
LiScAg4 | Alexandria via LeMat-Bulk | PBE | optimized geometry; formation energy = 83.7 meV per atom; energy above the most stable polymorph in this dataset = 0.264 eV per atom; electronic total energy = -3.191 eV/atom; size of the total moment = 0.18 μB/cell; N(E_F) = 3.5 states/eV/cell; symmetry = P4/mmm (123)
1.0
3.937 0.000 -0.001
0.000 3.937 -0.002
0.003 0.004 8.109
Li Sc Ag
1 1 4
Cartesian
0.006 3.929 4.037
1.978 1.960 8.092
1.974 3.928 2.126
1.976 3.928 5.948
0.006 1.959 2.127
0.008 1.960 5.950